Compound: AlCoSbPt2
Source: Alexandria
Functional: GGA-PBEsol
Structure: optimized geometry

Lattice parameters (Å, degrees): 4.8861 4.8861 4.5642 90.00 90.00 90.00
Fractional positions:
Al (0.0000, 0.0000, 0.0000)
Co (0.5000, 0.5000, 0.0000)
Sb (0.5000, 0.5000, 0.5000)
Pt (0.0000, 0.5000, 0.5000)
Pt (0.5000, 0.0000, 0.5000)

Values from the calculation:
- DFT total energy (eV/cell) = -25.287
- formation energy without anion corrections (eV per atom) = 1.0053
- M_tot (μB/f.u.) = 2.03
- SG = P4/mmm, No. 123


Compound: AlZnCo2Pt
Source: Alexandria
Functional: GGA-PBEsol
Structure: optimized geometry

Lattice parameters (Å, degrees): 4.5757 4.5757 4.6232 90.00 90.00 90.00
Fractional positions:
Al (0.0000, 0.0000, 0.0000)
Zn (0.5000, 0.5000, 0.0000)
Co (0.0000, 0.5000, 0.5000)
Co (0.5000, 0.0000, 0.5000)
Pt (0.5000, 0.5000, 0.5000)

Values from the calculation:
- DFT total energy (eV/cell) = -23.011
- M_tot (μB/f.u.) = 4.15
- formation enthalpy at 0 K (eV per formula unit) = 5.10
- SG = P4/mmm, No. 123


Compound: AlCoRe2
Source: Alexandria
Functional: GGA-PBEsol
Structure: optimized geometry

Lattice parameters (Å, degrees): 8.5228 8.5228 8.5228 18.43 18.43 18.43
Fractional positions:
Al (0.0000, 0.0000, 0.0000)
Co (0.7438, 0.7438, 0.7438)
Re (0.2444, 0.2444, 0.2444)
Re (0.4915, 0.4915, 0.4915)

Values from the calculation:
- DFT total energy (eV/cell) = -38.573
- M_tot (μB/f.u.) = 0.91
- formation enthalpy at 0 K (eV per formula unit) = -0.08
- SG = R3m, No. 160


Number 1: theoretical density 9.11 g cm⁻³, volume 109.0 Å³ per cell. Number 2: theoretical density 6.95 g cm⁻³, volume 96.8 Å³ per cell. Number 3: theoretical density 14.08 g cm⁻³, volume 54.0 Å³ per cell.